EuHfS3: optimized geometry, PBE-GGA.

Results
**ΔE_f (raw)**: -1813 meV per atom
**E_tot**: -8.34 eV per atom
**E above lowest polymorph**: 0.000 eV/atom

Geometry as POSCAR:
```
EuHfS3
1.0
-6.460 0.822 1.218
-1.391 -6.184 -3.206
1.005 -4.600 8.436
Eu S Hf
4 12 4
Direct
0.469 0.590 0.250
0.031 0.090 0.250
0.531 0.410 0.750
0.969 0.910 0.750
0.187 0.806 0.055
0.313 0.306 0.445
0.313 0.306 0.055
0.687 0.694 0.555
0.813 0.194 0.555
0.891 0.477 0.250
0.109 0.523 0.750
0.187 0.806 0.445
0.687 0.694 0.945
0.813 0.194 0.945
0.391 0.023 0.750
0.609 0.977 0.250
0.000 0.500 0.500
0.500 0.000 0.500
0.000 0.500 0.000
0.500 0.000 0.000
```

TmZnIrRh: optimized geometry, PBE-GGA.

Results
**E_tot**: -6.09 eV per atom
**Formation energy from the elements**: -597 meV per atom
**E above lowest polymorph**: 0.039 eV/atom

Geometry as POSCAR:
```
TmZnIrRh
1.0
4.540 0.000 0.000
2.270 3.932 0.000
2.270 1.311 3.707
Tm Zn Ir Rh
1 1 1 1
Direct
0.500 0.500 0.500
0.000 0.000 0.000
0.250 0.250 0.250
0.750 0.750 0.750
```

Pm3HPbS: optimized geometry, PBE-GGA.

Results
**E_tot**: -5.26 eV per atom

Geometry as POSCAR:
```
Pm3HPbS
1.0
4.242 0.000 0.000
0.000 8.225 0.332
0.000 -1.833 8.646
Pm H S Pb
6 2 2 2
Direct
0.250 0.119 0.873
0.250 0.571 0.829
0.250 0.818 0.458
0.750 0.182 0.542
0.750 0.881 0.127
0.750 0.429 0.171
0.250 0.087 0.599
0.750 0.913 0.401
0.750 0.347 0.851
0.250 0.653 0.149
0.250 0.166 0.257
0.750 0.834 0.743
```

Pm4PrNd3: optimized geometry, PBE-GGA.

Results
**E_tot**: -4.75 eV per atom
**Formation energy from the elements**: 14 meV per atom
**E above lowest polymorph**: 0.000 eV/atom

Geometry as POSCAR:
```
Pm4PrNd3
1.0
-7.056 -1.346 -1.503
1.390 -7.206 -0.075
-2.067 -0.505 10.160
Pm Nd Pr
8 6 2
Direct
0.500 0.310 0.000
0.751 0.061 0.250
0.500 0.810 0.500
0.000 0.311 0.500
0.249 0.561 0.750
0.000 0.811 0.000
0.249 0.561 0.250
0.751 0.061 0.750
0.250 0.061 0.750
0.000 0.311 0.000
0.000 0.811 0.500
0.750 0.561 0.750
0.250 0.061 0.250
0.750 0.561 0.250
0.500 0.311 0.500
0.500 0.811 0.000
```

RbMg2BeO: optimized geometry, PBE-GGA.

Results
**ΔE_f (raw)**: -201 meV per atom
**E_tot**: -2.77 eV per atom

Geometry as POSCAR:
```
RbMg2BeO
1.0
-1.246 3.184 2.527
-2.080 -3.732 3.676
3.750 -0.120 2.000
Mg Be O Rb
2 1 1 1
Direct
0.000 0.000 0.500
0.500 0.000 0.000
0.500 0.500 0.500
0.000 0.000 0.000
0.000 0.500 0.000
```

PrEr2PaAs4: optimized geometry, PBE-GGA.

Results
**E_tot**: -6.64 eV per atom
**Formation energy from the elements**: -1386 meV per atom

Geometry as POSCAR:
```
PrEr2PaAs4
1.0
-1.043 2.645 -3.014
-6.137 -3.499 -0.947
-5.058 2.841 4.243
As Pa Pr Er
4 1 1 2
Direct
0.500 0.754 0.256
0.500 0.246 0.744
0.000 0.242 0.262
0.000 0.758 0.738
0.000 0.500 0.500
0.500 0.500 0.000
0.000 0.000 0.000
0.500 0.000 0.500
```

Ac2PrAsO8: optimized geometry, PBE-GGA.

Results
**ΔE_f (raw)**: -2191 meV per atom
**E_tot**: -6.97 eV per atom

Geometry as POSCAR:
```
Ac2PrAsO8
1.0
5.583 0.000 0.000
-2.791 4.835 0.000
0.000 0.000 6.497
O Ac As Pr
8 2 1 1
Direct
0.846 0.154 0.829
0.691 0.846 0.171
0.846 0.691 0.829
0.154 0.846 0.171
0.309 0.154 0.829
0.667 0.333 0.478
0.333 0.667 0.522
0.154 0.309 0.171
0.333 0.667 0.860
0.667 0.333 0.140
0.000 0.000 0.000
0.000 0.000 0.500
```

Na2CrOs2: optimized geometry, PBE-GGA.

Results
**E_tot**: -5.83 eV per atom
**Formation energy from the elements**: 1117 meV per atom
**E above lowest polymorph**: 0.000 eV/atom

Geometry as POSCAR:
```
Na2CrOs2
1.0
-2.990 1.173 1.367
-1.743 -1.213 -2.770
-3.643 -8.584 3.851
Cr Na Os
1 2 2
Direct
0.000 0.000 0.000
0.382 0.382 0.235
0.618 0.618 0.765
0.750 0.250 0.500
0.250 0.750 0.500
```